The following is a PBE-GGA calculation of an optimized crystal structure of CrP2Ir, from Alexandria via LeMat-Bulk.

Summary:
The value obtained for the volume is 55.4 Å³/cell. The total energy is -7.570 eV per atom. Its symmetry is P4mm.

a b c (Å): 3.347 3.347 4.943
angles (deg): 90.00 90.00 90.00
Fractional positions:
Ir: 0.500 0.500 0.810
Cr: 0.000 0.000 0.436
P: 0.000 0.000 0.943
P: 0.500 0.500 0.310

The following is a PBE-GGA calculation of an optimized crystal structure of Tb4Eu2Co, from Alexandria via LeMat-Bulk.

Summary:
The value obtained for the volume is 247.1 Å³/cell. The total energy is -6.455 eV per atom. Its symmetry is I4/mmm.

a b c (Å): 5.266 5.266 9.657
angles (deg): 74.18 74.18 90.00
Fractional positions:
Co: 0.000 0.000 0.000
Tb: 0.854 0.854 0.292
Eu: 0.347 0.347 0.306
Eu: 0.653 0.653 0.694
Tb: 0.500 0.000 0.000
Tb: 0.000 0.500 0.000
Tb: 0.146 0.146 0.708

The following is a PBE-GGA calculation of an optimized crystal structure of TaInSi, from Alexandria via LeMat-Bulk.

Summary:
The value obtained for the volume is 122.1 Å³/cell. As for the energy relative to the elements, uncorrected: -24 meV/atom. Its symmetry is P-1.

a b c (Å): 3.431 3.630 9.934
angles (deg): 80.78 89.85 89.97
Fractional positions:
Ta: 0.001 0.306 0.861
In: 0.489 0.860 0.372
Si: 0.500 0.217 0.083
Si: 0.500 0.783 0.917
Ta: 0.999 0.694 0.139
In: 0.511 0.140 0.628

The following is a PBE-GGA calculation of an optimized crystal structure of PrEr5Ag4, from Alexandria via LeMat-Bulk.

Summary:
The value obtained for the volume is 253.5 Å³/cell. The total energy is -4.158 eV per atom. Its symmetry is P4/mmm.

a b c (Å): 3.581 3.581 19.766
angles (deg): 90.00 90.00 90.00
Fractional positions:
Ag: 0.000 0.000 0.408
Er: 0.500 0.500 0.314
Er: 0.500 0.500 0.500
Ag: 0.000 0.000 0.222
Er: 0.500 0.500 0.686
Ag: 0.000 0.000 0.778
Er: 0.500 0.500 0.869
Ag: 0.000 0.000 0.592
Pr: 0.000 0.000 0.000
Er: 0.500 0.500 0.131

The following is a PBE-GGA calculation of an optimized crystal structure of PmNdY5, from Alexandria via LeMat-Bulk.

Summary:
The value obtained for the volume is 469.9 Å³/cell. The total energy is -5.879 eV per atom. Its symmetry is C2/c.

a b c (Å): 6.588 6.588 11.838
angles (deg): 105.44 105.44 95.37
Fractional positions:
Y: 0.612 0.972 0.163
Y: 0.972 0.612 0.663
Y: 0.388 0.028 0.837
Nd: 0.507 0.493 0.250
Pm: 0.000 0.000 0.000
Y: 0.028 0.388 0.337
Y: 0.466 0.765 0.536
Y: 0.534 0.235 0.464
Y: 0.235 0.534 0.964
Y: 0.765 0.466 0.036
Y: 0.839 0.161 0.750
Nd: 0.493 0.507 0.750
Y: 0.161 0.839 0.250
Pm: 0.000 0.000 0.500

no.,DOS(E_F) (states/eV/f.u.)
1,2.6
2,8.8
3,1.3
4,7.8
5,12.0